[1]
VASP calculation (PBE) on Tb2MgAl4Pd3 after structural relaxation.

The calculation puts the calculated formation energy at -712 meV per atom. The calculation puts the uncorrected energy at -48.524 eV/cell. The crystal system is tetragonal.

It has space group P-4m2 (No. 115), with a = 4.1517 Å, b = 4.1517 Å, c = 11.2617 Å, α = 90.00°, β = 90.00° and γ = 90.00°. The inequivalent atoms are Tb at (0.0000, 0.5000, 0.2358), Mg at (0.0000, 0.0000, 0.5000), Al at (0.0000, 0.0000, 0.0000), Al at (0.0000, 0.5000, 0.6499), Al at (0.5000, 0.5000, 0.0000), Pd at (0.0000, 0.5000, 0.8697) and Pd at (0.5000, 0.5000, 0.5000).



[2]
VASP calculation (PBE) on TbMg2AlPd4 after structural relaxation.

The calculation puts the calculated formation energy at -788 meV per atom. The calculation puts the uncorrected energy at -115.908 eV/cell. The crystal system is trigonal.

It has space group R-3m (No. 166, hexagonal axes), with a = 4.5795 Å, b = 4.5795 Å, c = 22.8733 Å, α = 90.00°, β = 90.00° and γ = 120.00°. The inequivalent atoms are Tb at (0.0000, 0.0000, 0.0000), Mg at (0.0000, 0.0000, 0.2458), Al at (0.0000, 0.0000, 0.5000), Pd at (0.0000, 0.0000, 0.1294) and Pd at (0.0000, 0.0000, 0.3890).



[3]
VASP calculation (PBE) on ThMgAl2Pd4 after structural relaxation.

The calculation puts the calculated formation energy at -815 meV per atom. The calculation puts the uncorrected energy at -131.382 eV/cell. The crystal system is trigonal.

It has space group R-3m (No. 166, hexagonal axes), with a = 4.3449 Å, b = 4.3449 Å, c = 26.2071 Å, α = 90.00°, β = 90.00° and γ = 120.00°. The inequivalent atoms are Th at (0.0000, 0.0000, 0.0000), Mg at (0.0000, 0.0000, 0.5000), Al at (0.0000, 0.0000, 0.2367), Pd at (0.0000, 0.0000, 0.1302) and Pd at (0.0000, 0.0000, 0.3995).



[4]
VASP calculation (PBE) on TmMgAl2Pd2 after structural relaxation.

The calculation puts the calculated formation energy at -726 meV per atom. The calculation puts the uncorrected energy at -28.290 eV/cell. The crystal system is trigonal.

It has space group P-3m1 (No. 164), with a = 4.4303 Å, b = 4.4303 Å, c = 6.4544 Å, α = 90.00°, β = 90.00° and γ = 120.00°. The inequivalent atoms are Tm at (0.0000, 0.0000, 0.0000), Mg at (0.0000, 0.0000, 0.5000), Al at (0.3333, 0.6667, 0.7077) and Pd at (0.3333, 0.6667, 0.2804).



[5]
VASP calculation (PBE) on TmMg2AlPd4 after structural relaxation.

The calculation puts the calculated formation energy at -818 meV per atom. The calculation puts the uncorrected energy at -116.149 eV/cell. The crystal system is trigonal.

It has space group R-3m (No. 166, hexagonal axes), with a = 4.5682 Å, b = 4.5682 Å, c = 22.4733 Å, α = 90.00°, β = 90.00° and γ = 120.00°. The inequivalent atoms are Tm at (0.0000, 0.0000, 0.0000), Mg at (0.0000, 0.0000, 0.2471), Al at (0.0000, 0.0000, 0.5000), Pd at (0.0000, 0.0000, 0.1288) and Pd at (0.0000, 0.0000, 0.3853).



[6]
VASP calculation (PBE) on Tm2MgAl2Pd5 after structural relaxation.

The calculation puts the calculated formation energy at -797 meV per atom. The calculation puts the uncorrected energy at -103.908 eV/cell. The crystal system is tetragonal.

It has space group P4/mbm (No. 127), with a = 9.9106 Å, b = 9.9106 Å, c = 3.6591 Å, α = 90.00°, β = 90.00° and γ = 90.00°. The inequivalent atoms are Tm at (0.1766, 0.3234, 0.0000), Mg at (0.0000, 0.0000, 0.0000), Al at (0.1211, 0.6211, 0.0000), Pd at (0.0000, 0.5000, 0.5000) and Pd at (0.0666, 0.7897, 0.5000).



[7]
VASP calculation (PBE) on TmMgAl2Pd4 after structural relaxation.

The calculation puts the calculated formation energy at -846 meV per atom. The calculation puts the uncorrected energy at -123.263 eV/cell. The crystal system is trigonal.

It has space group R-3m (No. 166, hexagonal axes), with a = 4.5306 Å, b = 4.5306 Å, c = 22.2487 Å, α = 90.00°, β = 90.00° and γ = 120.00°. The inequivalent atoms are Tm at (0.0000, 0.0000, 0.0000), Mg at (0.0000, 0.0000, 0.5000), Al at (0.0000, 0.0000, 0.2466), Pd at (0.0000, 0.0000, 0.1269) and Pd at (0.0000, 0.0000, 0.3797).



[8]
VASP calculation (PBE) on MgAlPdW2 after structural relaxation.

The calculation puts the calculated formation energy at 1307 meV per atom. The calculation puts the uncorrected energy at -29.901 eV/cell. The crystal system is tetragonal.

It has space group P4/mmm (No. 123), with a = 4.6232 Å, b = 4.6232 Å, c = 4.5527 Å, α = 90.00°, β = 90.00° and γ = 90.00°. The inequivalent atoms are Mg at (0.0000, 0.0000, 0.0000), Al at (0.5000, 0.5000, 0.5000), Pd at (0.5000, 0.5000, 0.0000) and W at (0.0000, 0.5000, 0.5000).



[9]
VASP calculation (PBE) on Y2MgAl4Pd3 after structural relaxation.

The calculation puts the calculated formation energy at -720 meV per atom. The calculation puts the uncorrected energy at -52.271 eV/cell. The crystal system is tetragonal.

It has space group P-4m2 (No. 115), with a = 4.1512 Å, b = 4.1512 Å, c = 11.2301 Å, α = 90.00°, β = 90.00° and γ = 90.00°. The inequivalent atoms are Y at (0.0000, 0.5000, 0.2367), Mg at (0.0000, 0.0000, 0.5000), Al at (0.0000, 0.0000, 0.0000), Al at (0.0000, 0.5000, 0.6500), Al at (0.5000, 0.5000, 0.0000), Pd at (0.0000, 0.5000, 0.8700) and Pd at (0.5000, 0.5000, 0.5000).



[10]
VASP calculation (PBE) on Y2MgAl2Pd5 after structural relaxation.

The calculation puts the calculated formation energy at -787 meV per atom. The calculation puts the uncorrected energy at -111.692 eV/cell. The crystal system is tetragonal.

It has space group P4/mbm (No. 127), with a = 10.2365 Å, b = 10.2365 Å, c = 3.5022 Å, α = 90.00°, β = 90.00° and γ = 90.00°. The inequivalent atoms are Y at (0.1756, 0.3244, 0.0000), Mg at (0.0000, 0.0000, 0.0000), Al at (0.1241, 0.6241, 0.0000), Pd at (0.0000, 0.5000, 0.5000) and Pd at (0.0615, 0.7911, 0.5000).



[11]
VASP calculation (PBE) on YMgAl2Pd4 after structural relaxation.

The calculation puts the calculated formation energy at -829 meV per atom. The calculation puts the uncorrected energy at -128.842 eV/cell. The crystal system is trigonal.

It has space group R-3m (No. 166, hexagonal axes), with a = 4.3938 Å, b = 4.3938 Å, c = 24.6312 Å, α = 90.00°, β = 90.00° and γ = 120.00°. The inequivalent atoms are Y at (0.0000, 0.0000, 0.0000), Mg at (0.0000, 0.0000, 0.5000), Al at (0.0000, 0.0000, 0.2409), Pd at (0.0000, 0.0000, 0.1272) and Pd at (0.0000, 0.0000, 0.3960).



[12]
VASP calculation (PBE) on MgAlZnPd after structural relaxation.

The calculation puts the calculated formation energy at -272 meV per atom. The calculation puts the uncorrected energy at -38.673 eV/cell. The crystal system is trigonal.

It has space group R3m (No. 160, hexagonal axes), with a = 4.2649 Å, b = 4.2649 Å, c = 13.4590 Å, α = 90.00°, β = 90.00° and γ = 120.00°. The inequivalent atoms are Mg at (0.0000, 0.0000, 0.0000), Al at (0.0000, 0.0000, 0.1984), Zn at (0.0000, 0.0000, 0.5709) and Pd at (0.0000, 0.0000, 0.7938).



[13]
VASP calculation (PBE) on Mg3Al3ZnPd2 after structural relaxation.

The calculation puts the calculated formation energy at -380 meV per atom. The calculation puts the uncorrected energy at -31.093 eV/cell. The crystal system is hexagonal.

It has space group P-62m (No. 189), with a = 7.5651 Å, b = 7.5651 Å, c = 2.9842 Å, α = 90.00°, β = 90.00° and γ = 120.00°. The inequivalent atoms are Mg at (0.0000, 0.2919, 0.0000), Al at (0.0000, 0.6267, 0.5000), Zn at (0.0000, 0.0000, 0.5000) and Pd at (0.3333, 0.6667, 0.0000).



[14]
VASP calculation (PBE) on Mg2AlZn2Pd5 after structural relaxation.

The calculation puts the calculated formation energy at -580 meV per atom. The calculation puts the uncorrected energy at -82.489 eV/cell. The crystal system is tetragonal.

It has space group P4/mbm (No. 127), with a = 9.4174 Å, b = 9.4174 Å, c = 3.6404 Å, α = 90.00°, β = 90.00° and γ = 90.00°. The inequivalent atoms are Mg at (0.1695, 0.3305, 0.0000), Al at (0.0000, 0.0000, 0.0000), Zn at (0.1286, 0.6286, 0.0000), Pd at (0.0000, 0.5000, 0.5000) and Pd at (0.0804, 0.8088, 0.5000).



[15]
VASP calculation (PBE) on Mg2ZrAlPd after structural relaxation.

The calculation puts the calculated formation energy at 372 meV per atom. The calculation puts the uncorrected energy at -18.811 eV/cell. The crystal system is tetragonal.

It has space group P4/mmm (No. 123), with a = 4.8924 Å, b = 4.8924 Å, c = 4.5566 Å, α = 90.00°, β = 90.00° and γ = 90.00°. The inequivalent atoms are Mg at (0.0000, 0.5000, 0.0000), Zr at (0.0000, 0.0000, 0.5000), Al at (0.5000, 0.5000, 0.0000) and Pd at (0.5000, 0.5000, 0.5000).



[16]
VASP calculation (PBE) on MgZrAlPd2 after structural relaxation.

The calculation puts the calculated formation energy at 627 meV per atom. The calculation puts the uncorrected energy at -21.135 eV/cell. The crystal system is tetragonal.

It has space group P4/mmm (No. 123), with a = 4.5258 Å, b = 4.5258 Å, c = 5.2223 Å, α = 90.00°, β = 90.00° and γ = 90.00°. The inequivalent atoms are Mg at (0.0000, 0.0000, 0.0000), Zr at (0.0000, 0.0000, 0.5000), Al at (0.5000, 0.5000, 0.5000) and Pd at (0.0000, 0.5000, 0.0000).



[17]
VASP calculation (PBE) on Pm4MgAl2 after structural relaxation.

The calculation puts the calculated formation energy at -84 meV per atom. The calculation puts the uncorrected energy at -114.674 eV/cell. The crystal system is tetragonal.

It has space group I-42d (No. 122), with a = 9.2748 Å, b = 9.2748 Å, c = 9.5471 Å, α = 90.00°, β = 90.00° and γ = 90.00°. The inequivalent atoms are Pm at (0.0810, 0.1663, 0.3163), Mg at (0.0000, 0.0000, 0.0000) and Al at (0.1423, 0.2500, 0.6250).



[18]
VASP calculation (PBE) on PmMg11Al after structural relaxation.

The calculation puts the calculated formation energy at -56 meV per atom. The calculation puts the uncorrected energy at -53.518 eV/cell. The crystal system is monoclinic.

It has space group C2/m (No. 12), with a = 5.8681 Å, b = 14.4353 Å, c = 7.7035 Å, α = 90.00°, β = 111.85° and γ = 90.00°. The inequivalent atoms are Pm at (0.0000, 0.0000, 0.0000), Mg at (0.0000, 0.0000, 0.5000), Mg at (0.1047, 0.3952, 0.2148), Mg at (0.1799, 0.1736, 0.3550), Mg at (0.2500, 0.2500, 0.0000) and Al at (0.0000, 0.5000, 0.5000).



[19]
VASP calculation (PBE) on PmMg2Al after structural relaxation.

The calculation puts the calculated formation energy at -187 meV per atom. The calculation puts the uncorrected energy at -24.861 eV/cell. The crystal system is tetragonal.

It has space group I-4m2 (No. 119), with a = 5.0777 Å, b = 5.0777 Å, c = 7.1951 Å, α = 90.00°, β = 90.00° and γ = 90.00°. The inequivalent atoms are Pm at (0.0000, 0.0000, 0.0000), Mg at (0.0000, 0.0000, 0.5000), Mg at (0.0000, 0.5000, 0.7500) and Al at (0.0000, 0.5000, 0.2500).



[20]
VASP calculation (PBE) on Pm3Mg2Al4 after structural relaxation.

The calculation puts the calculated formation energy at -337 meV per atom. The calculation puts the uncorrected energy at -70.882 eV/cell. The crystal system is monoclinic.

It has space group C2/m (No. 12), with a = 11.0576 Å, b = 4.7648 Å, c = 9.0562 Å, α = 90.00°, β = 114.87° and γ = 90.00°. The inequivalent atoms are Pm at (0.0000, 0.0000, 0.0000), Pm at (0.1651, 0.5000, 0.6689), Mg at (0.1163, 0.5000, 0.2826), Al at (0.0535, 0.0000, 0.3924) and Al at (0.2262, 0.5000, 0.0547).



[21]
VASP calculation (PBE) on Pm6MgAl3 after structural relaxation.

The calculation puts the calculated formation energy at -223 meV per atom. The calculation puts the uncorrected energy at -87.107 eV/cell. The crystal system is monoclinic.

It has space group P2_1/m (No. 11), with a = 9.4880 Å, b = 5.2409 Å, c = 11.6589 Å, α = 90.00°, β = 107.52° and γ = 90.00°. The inequivalent atoms are Pm at (0.0453, 0.2500, 0.4141), Pm at (0.1541, 0.7500, 0.1804), Pm at (0.2295, 0.2500, 0.9972), Pm at (0.3253, 0.7500, 0.7903), Pm at (0.3752, 0.2500, 0.3478), Pm at (0.3975, 0.2500, 0.6222), Mg at (0.4613, 0.7500, 0.0859), Al at (0.0399, 0.7500, 0.8783), Al at (0.1201, 0.2500, 0.7152) and Al at (0.2720, 0.7500, 0.4731).



[22]
VASP calculation (PBE) on Pm4MgAl3 after structural relaxation.

The calculation puts the calculated formation energy at -312 meV per atom. The calculation puts the uncorrected energy at -34.322 eV/cell. The crystal system is tetragonal.

It has space group P4/mmm (No. 123), with a = 5.2745 Å, b = 5.2745 Å, c = 7.4918 Å, α = 90.00°, β = 90.00° and γ = 90.00°. The inequivalent atoms are Pm at (0.0000, 0.5000, 0.2456), Mg at (0.0000, 0.0000, 0.5000), Al at (0.0000, 0.0000, 0.0000), Al at (0.5000, 0.5000, 0.0000) and Al at (0.5000, 0.5000, 0.5000).